# 1
BaDyMg2Hg4: optimized geometry, PBE-GGA.

It has space group R-3m (No. 166, hexagonal axes), with a = 5.0590 Å, b = 5.0590 Å, c = 29.1317 Å, α = 90.00°, β = 90.00° and γ = 120.00°. The distinct sites, in fractional coordinates, are Ba at (0.0000, 0.0000, 0.0000), Dy at (0.0000, 0.0000, 0.5000), Mg at (0.0000, 0.0000, 0.2357), Hg at (0.0000, 0.0000, 0.1269) and Hg at (0.0000, 0.0000, 0.3943).

As for the calculated formation energy: -0.400 eV per atom. The calculation puts the raw total energy at -1.76 eV per atom.

# 2
LuPaIrAu: optimized geometry, PBE-GGA.

It has space group F-43m (No. 216), with a = 7.0008 Å, b = 7.0008 Å, c = 7.0008 Å, α = 90.00°, β = 90.00° and γ = 90.00°. The distinct sites, in fractional coordinates, are Lu at (0.0000, 0.0000, 0.0000), Pa at (0.0000, 0.0000, 0.5000), Ir at (0.2500, 0.2500, 0.7500) and Au at (0.2500, 0.2500, 0.2500).

As for the calculated formation energy: -0.615 eV per atom. The calculation puts the raw total energy at -7.15 eV per atom.

# 3
Er4MgIr: optimized geometry, PBE-GGA.

It has space group I4_1md (No. 109), with a = 10.1821 Å, b = 10.1821 Å, c = 7.4360 Å, α = 90.00°, β = 90.00° and γ = 90.00°. The distinct sites, in fractional coordinates, are Er at (0.0000, 0.2550, 0.0000), Er at (0.0000, 0.3180, 0.4640), Mg at (0.0000, 0.0000, 0.5462) and Ir at (0.0000, 0.0000, 0.9344).

As for the calculated formation energy: -0.043 eV per atom. The calculation puts the raw total energy at -4.83 eV per atom. For the offset from the most stable computed form, the calculation gives 0.400 eV per atom.